Entry from Alexandria via LeMat-Bulk: an optimized crystal structure of CaGaCuAu6 (PBE).

Unit cell a=8.3219 b=8.3219 c=8.3219 alpha=121.21 beta=117.25 gamma=91.38
Element x y z (fractional)
Ca: 0.3781 0.1281 0.2500
Ca: 0.6219 0.8719 0.7500
Ga: 0.0000 0.5000 0.5000
Ga: 0.5000 0.5000 0.0000
Cu: 0.0000 0.0000 0.5000
Cu: 0.0000 0.5000 0.0000
Au: 0.1192 0.3700 0.2365
Au: 0.1192 0.8826 0.7492
Au: 0.1268 0.8768 0.2500
Au: 0.3649 0.6149 0.7500
Au: 0.3665 0.1174 0.7365
Au: 0.3665 0.6300 0.2492
Au: 0.6335 0.3700 0.7508
Au: 0.6335 0.8826 0.2635
Au: 0.6351 0.3851 0.2500
Au: 0.8732 0.1232 0.7500
Au: 0.8808 0.1174 0.2508
Au: 0.8808 0.6300 0.7635

## Properties
D(E_F) = 3.531 states/eV/f.u.
Formation energy = -0.06 eV/atom